# 1
Computed, not measured: a relaxed ScBrO3 crystal at the PBE level of DFT.

Output
ΔE_f (raw)   -244 meV/atom
Total DFT energy (no corrections)   -4.8197 eV per atom

Cell: 4.032 4.032 4.032 Å, 90.00 90.00 90.00°
Atoms (fractional coordinates):
Sc: 0.000 0.000 0.000
Br: 0.500 0.500 0.500
O: 0.000 0.500 0.500
O: 0.500 0.000 0.500
O: 0.500 0.500 0.000


# 2
Computed, not measured: a relaxed Sc2V2Rh crystal at the PBE level of DFT.

Output
Formation enthalpy at 0 K   -0.067 eV per atom
Total DFT energy (no corrections)   -7.7175 eV per atom

Cell: 6.258 6.258 4.551 Å, 90.00 90.00 90.00°
Atoms (fractional coordinates):
Sc: 0.169 0.331 0.000
Sc: 0.331 0.831 0.000
Sc: 0.669 0.169 0.000
Sc: 0.831 0.669 0.000
V: 0.133 0.633 0.500
V: 0.367 0.133 0.500
V: 0.633 0.867 0.500
V: 0.867 0.367 0.500
Rh: 0.000 0.000 0.500
Rh: 0.500 0.500 0.500


# 3
Computed, not measured: a relaxed Tb2SmHoEr2 crystal at the PBE level of DFT.

Output
Formation enthalpy at 0 K   0.108 eV per atom
Total DFT energy (no corrections)   -4.5062 eV per atom

Cell: 6.062 18.112 3.513 Å, 90.00 90.00 90.00°
Atoms (fractional coordinates):
Tb: 0.166 0.157 0.000
Tb: 0.334 0.657 0.500
Tb: 0.666 0.343 0.500
Tb: 0.834 0.843 0.000
Sm: 0.000 0.500 0.500
Sm: 0.500 0.000 0.000
Ho: 0.000 0.000 0.500
Ho: 0.500 0.500 0.000
Er: 0.166 0.343 0.000
Er: 0.334 0.843 0.500
Er: 0.666 0.157 0.500
Er: 0.834 0.657 0.000


# 4
Computed, not measured: a relaxed Cr2AsPb crystal at the PBE level of DFT.

Output
Formation enthalpy at 0 K   0.489 eV per atom
Total DFT energy (no corrections)   -6.4121 eV per atom

Cell: 6.015 6.015 6.015 Å, 105.35 105.35 118.07°
Atoms (fractional coordinates):
Cr: 0.075 0.625 0.950
Cr: 0.375 0.325 0.450
Cr: 0.675 0.125 0.050
Cr: 0.875 0.925 0.550
As: 0.000 0.000 0.000
As: 0.750 0.250 0.500
Pb: 0.250 0.750 0.500
Pb: 0.500 0.500 0.000


# 5
Computed, not measured: a relaxed La2Pr8In crystal at the PBE level of DFT.

Output
Formation enthalpy at 0 K   0.000 eV per atom
Total DFT energy (no corrections)   -4.6205 eV per atom

Cell: 10.131 10.131 10.131 Å, 147.22 134.62 57.10°
Atoms (fractional coordinates):
La: 0.193 0.193 0.000
La: 0.807 0.807 0.000
Pr: 0.091 0.365 0.726
Pr: 0.244 0.000 0.244
Pr: 0.326 0.826 0.500
Pr: 0.362 0.635 0.726
Pr: 0.638 0.365 0.274
Pr: 0.674 0.174 0.500
Pr: 0.756 0.000 0.756
Pr: 0.909 0.635 0.274
In: 0.500 0.500 0.000


# 6
Computed, not measured: a relaxed BaLiAg2 crystal at the PBE level of DFT.

Output
Formation enthalpy at 0 K   -0.020 eV per atom
Total DFT energy (no corrections)   -2.4049 eV per atom

Cell: 5.304 5.304 5.304 Å, 60.00 60.00 60.00°
Atoms (fractional coordinates):
Ba: 0.000 0.000 0.000
Li: 0.250 0.250 0.250
Ag: 0.500 0.500 0.500
Ag: 0.750 0.750 0.750


# 7
Computed, not measured: a relaxed Be2CrRh2 crystal at the PBE level of DFT.

Output
Formation enthalpy at 0 K   0.071 eV per atom
Total DFT energy (no corrections)   -6.2846 eV per atom

Cell: 5.064 5.064 5.064 Å, 133.91 133.91 67.23°
Atoms (fractional coordinates):
Be: 0.250 0.750 0.500
Be: 0.750 0.250 0.500
Cr: 0.000 0.000 0.000
Rh: 0.353 0.353 0.000
Rh: 0.647 0.647 0.000


# 8
Computed, not measured: a relaxed La5PrTm2 crystal at the PBE level of DFT.

Output
Formation enthalpy at 0 K   0.033 eV per atom
Total DFT energy (no corrections)   -4.7615 eV per atom

Cell: 9.042 9.042 9.042 Å, 156.78 101.71 82.99°
Atoms (fractional coordinates):
La: 0.000 0.000 0.000
La: 0.098 0.369 0.729
La: 0.360 0.631 0.729
La: 0.640 0.369 0.271
La: 0.902 0.631 0.271
Pr: 0.500 0.000 0.500
Tm: 0.258 0.258 0.000
Tm: 0.742 0.742 0.000


# 9
Computed, not measured: a relaxed Ac5YAg4 crystal at the PBE level of DFT.

Output
Formation enthalpy at 0 K   -0.193 eV per atom
Total DFT energy (no corrections)   -4.0338 eV per atom

Cell: 3.951 3.951 20.962 Å, 90.00 90.00 90.00°
Atoms (fractional coordinates):
Ac: 0.000 0.000 0.000
Ac: 0.000 0.000 0.191
Ac: 0.000 0.000 0.378
Ac: 0.000 0.000 0.622
Ac: 0.000 0.000 0.809
Y: 0.500 0.500 0.500
Ag: 0.500 0.500 0.095
Ag: 0.500 0.500 0.286
Ag: 0.500 0.500 0.714
Ag: 0.500 0.500 0.905


# 10
Computed, not measured: a relaxed GaFeCuTc crystal at the PBE level of DFT.

Output
Formation enthalpy at 0 K   0.073 eV per atom
Total DFT energy (no corrections)   -6.4152 eV per atom

Cell: 4.224 4.224 4.224 Å, 60.00 60.00 60.00°
Atoms (fractional coordinates):
Ga: 0.000 0.000 0.000
Fe: 0.500 0.500 0.500
Cu: 0.750 0.750 0.750
Tc: 0.250 0.250 0.250


# 11
Computed, not measured: a relaxed SrCa2Cd2 crystal at the PBE level of DFT.

Output
Formation enthalpy at 0 K   -0.269 eV per atom
Total DFT energy (no corrections)   -1.7718 eV per atom

Cell: 8.938 8.938 4.246 Å, 90.00 90.00 90.00°
Atoms (fractional coordinates):
Sr: 0.000 0.000 0.000
Sr: 0.500 0.500 0.000
Ca: 0.160 0.340 0.500
Ca: 0.340 0.840 0.500
Ca: 0.660 0.160 0.500
Ca: 0.840 0.660 0.500
Cd: 0.130 0.630 0.000
Cd: 0.370 0.130 0.000
Cd: 0.630 0.870 0.000
Cd: 0.870 0.370 0.000


# 12
Computed, not measured: a relaxed NbGaPd crystal at the PBE level of DFT.

Output
Formation enthalpy at 0 K   -0.352 eV per atom
Total DFT energy (no corrections)   -6.4486 eV per atom

Cell: 6.430 6.430 4.012 Å, 90.00 90.00 144.00°
Atoms (fractional coordinates):
Nb: 0.172 0.828 0.000
Nb: 0.828 0.172 0.000
Ga: 0.349 0.651 0.500
Ga: 0.651 0.349 0.500
Pd: 0.000 0.000 0.500
Pd: 0.500 0.500 0.000


# 13
Computed, not measured: a relaxed PrNd2Ho5Th crystal at the PBE level of DFT.

Output
Formation enthalpy at 0 K   0.164 eV per atom
Total DFT energy (no corrections)   -4.7945 eV per atom

Cell: 10.441 10.441 10.545 Å, 90.00 90.00 148.59°
Atoms (fractional coordinates):
Pr: 0.086 0.914 0.500
Pr: 0.914 0.086 0.000
Nd: 0.384 0.616 0.779
Nd: 0.386 0.614 0.369
Nd: 0.614 0.386 0.869
Nd: 0.616 0.384 0.279
Ho: 0.021 0.979 0.786
Ho: 0.112 0.888 0.073
Ho: 0.202 0.798 0.760
Ho: 0.223 0.777 0.365
Ho: 0.483 0.517 0.074
Ho: 0.517 0.483 0.574
Ho: 0.777 0.223 0.865
Ho: 0.798 0.202 0.260
Ho: 0.888 0.112 0.573
Ho: 0.979 0.021 0.286
Th: 0.298 0.702 0.063
Th: 0.702 0.298 0.563


# 14
Computed, not measured: a relaxed Na2PuAlS4 crystal at the PBE level of DFT.

Output
ΔE_f (raw)   -1262 meV/atom
Total DFT energy (no corrections)   -5.9146 eV per atom

Cell: 6.714 3.813 6.990 Å, 90.00 108.56 90.00°
Atoms (fractional coordinates):
Na: 0.000 0.000 0.000
Na: 0.500 0.500 0.000
Pu: 0.000 0.500 0.500
Al: 0.500 0.000 0.500
S: 0.268 0.000 0.719
S: 0.288 0.500 0.293
S: 0.712 0.500 0.707
S: 0.732 0.000 0.281


# 15
Computed, not measured: a relaxed Nd2Dy5Y4 crystal at the PBE level of DFT.

Output
Formation enthalpy at 0 K   0.222 eV per atom
Total DFT energy (no corrections)   -5.0870 eV per atom

Cell: 12.659 12.659 12.659 Å, 164.04 138.00 45.20°
Atoms (fractional coordinates):
Nd: 0.233 0.233 0.000
Nd: 0.767 0.767 0.000
Dy: 0.164 0.358 0.806
Dy: 0.448 0.642 0.806
Dy: 0.500 0.000 0.500
Dy: 0.552 0.358 0.194
Dy: 0.836 0.642 0.194
Y: 0.098 0.098 0.000
Y: 0.190 0.500 0.690
Y: 0.810 0.500 0.310
Y: 0.902 0.902 0.000


# 16
Computed, not measured: a relaxed Sc2Si5Rh3 crystal at the PBE level of DFT.

Output
ΔE_f (raw)   -871 meV/atom
Total DFT energy (no corrections)   -7.0540 eV per atom

Cell: 8.032 8.032 8.032 Å, 104.91 89.22 139.14°
Atoms (fractional coordinates):
Sc: 0.133 0.229 0.362
Sc: 0.367 0.729 0.095
Sc: 0.633 0.271 0.905
Sc: 0.867 0.771 0.638
Si: 0.031 0.750 0.281
Si: 0.104 0.662 0.765
Si: 0.250 0.250 0.000
Si: 0.396 0.162 0.558
Si: 0.469 0.750 0.719
Si: 0.531 0.250 0.281
Si: 0.604 0.838 0.442
Si: 0.750 0.750 0.000
Si: 0.896 0.338 0.235
Si: 0.969 0.250 0.719
Rh: 0.141 0.891 0.032
Rh: 0.250 0.750 0.500
Rh: 0.359 0.391 0.750
Rh: 0.641 0.609 0.250
Rh: 0.750 0.250 0.500
Rh: 0.859 0.109 0.968


# 17
Computed, not measured: a relaxed ScCr2InSe crystal at the PBE level of DFT.

Output
ΔE_f (raw)   865 meV/atom
Total DFT energy (no corrections)   -5.4951 eV per atom

Cell: 5.390 5.390 5.239 Å, 90.00 90.00 90.00°
Atoms (fractional coordinates):
Sc: 0.000 0.000 0.000
Cr: 0.000 0.500 0.000
Cr: 0.500 0.000 0.000
In: 0.500 0.500 0.500
Se: 0.000 0.000 0.500


# 18
Computed, not measured: a relaxed NpTe2Pd crystal at the PBE level of DFT.

Output
ΔE_f (raw)   -444 meV/atom
Total DFT energy (no corrections)   -6.5479 eV per atom

Cell: 4.926 4.926 3.822 Å, 90.00 90.00 90.00°
Atoms (fractional coordinates):
Np: 0.000 0.000 0.000
Te: 0.000 0.500 0.500
Te: 0.500 0.000 0.500
Pd: 0.500 0.500 0.000


# 19
Computed, not measured: a relaxed ErCu2Ni crystal at the PBE level of DFT.

Output
Formation enthalpy at 0 K   -0.037 eV per atom
Total DFT energy (no corrections)   -4.6715 eV per atom

Cell: 3.997 3.997 4.280 Å, 90.00 90.00 102.63°
Atoms (fractional coordinates):
Er: 0.000 0.000 0.000
Cu: 0.311 0.689 0.500
Cu: 0.689 0.311 0.500
Ni: 0.500 0.500 0.000


# 20
Computed, not measured: a relaxed La2Ga3CuIr4 crystal at the PBE level of DFT.

Output
Formation enthalpy at 0 K   -0.624 eV per atom
Total DFT energy (no corrections)   -6.4719 eV per atom

Cell: 4.253 4.253 10.497 Å, 90.00 90.00 90.00°
Atoms (fractional coordinates):
La: 0.000 0.500 0.249
La: 0.500 0.000 0.751
Ga: 0.000 0.500 0.874
Ga: 0.500 0.000 0.126
Ga: 0.500 0.500 0.500
Cu: 0.000 0.000 0.500
Ir: 0.000 0.000 0.000
Ir: 0.000 0.500 0.637
Ir: 0.500 0.000 0.363
Ir: 0.500 0.500 0.000


Ordered density results: 4379 5491 8331 7787 6347 5664 6911 6925 8402 8947 3844 9164 8236 4358 6488 5704 3739 10717 8788 11541; unit kg/m³.